1.
A relaxed structure of PrHoPa2Sb4, computed with PBE. Values from VASP.

Structure (Quantum ESPRESSO input):
```
&SYSTEM
  ibrav = 0, nat = 8, ntyp = 4
/
ATOMIC_SPECIES
Pr 140.91 Pr.upf
Ho 164.93 Ho.upf
Pa 231.04 Pa.upf
Sb 121.76 Sb.upf
ATOMIC_POSITIONS angstrom
Pr 0.0000 0.0000 0.0000
Ho 2.5438 -3.5481 -0.5925
Pa -0.8711 -1.3160 4.1395
Pa 3.3073 -0.8369 2.8270
Sb 0.8886 -2.4472 1.8073
Sb 4.0915 -3.2538 4.5667
Sb 1.6336 0.2610 5.1679
Sb 4.9810 -1.9347 0.4860
CELL_PARAMETERS angstrom
-1.6345 -4.0272 0.7201
6.7222 -3.0689 -1.9050
-0.1076 1.3952 7.5589
```

Results
E_form (uncorrected) ... -0.78 eV/atom
Theoretical density ... 8.54 Mg/m³
Spin magnetization ... 1.838 μB per formula unit
Calculated total energy ... -51.0 eV per cell



2.
A relaxed structure of Ho3PaPt12, computed with PBE. Values from VASP.

Structure (Quantum ESPRESSO input):
```
&SYSTEM
  ibrav = 0, nat = 16, ntyp = 3
/
ATOMIC_SPECIES
Ho 164.93 Ho.upf
Pa 231.04 Pa.upf
Pt 195.08 Pt.upf
ATOMIC_POSITIONS angstrom
Ho 0.0000 0.0000 4.1860
Ho 0.0000 0.0000 8.2340
Ho 0.0000 0.0000 12.2821
Pa 0.0000 0.0000 0.0000
Pt 2.0645 2.0645 0.0000
Pt 2.0645 2.0645 4.1211
Pt 2.0645 2.0645 8.2340
Pt 2.0645 2.0645 12.3470
Pt 2.0645 0.0000 2.0363
Pt 2.0645 0.0000 6.1885
Pt 2.0645 0.0000 10.2796
Pt 2.0645 0.0000 14.4318
Pt 0.0000 2.0645 2.0363
Pt 0.0000 2.0645 6.1885
Pt 0.0000 2.0645 10.2796
Pt 0.0000 2.0645 14.4318
CELL_PARAMETERS angstrom
4.1290 0.0000 0.0000
0.0000 4.1290 0.0000
0.0000 0.0000 16.4681
```

Results
Theoretical density ... 18.14 Mg/m³
Spin magnetization ... 0.000 μB per formula unit
Calculated total energy ... -113.0 eV per cell



3.
A relaxed structure of HoPaPt6, computed with PBE. Values from VASP.

Structure (Quantum ESPRESSO input):
```
&SYSTEM
  ibrav = 0, nat = 8, ntyp = 3
/
ATOMIC_SPECIES
Ho 164.93 Ho.upf
Pa 231.04 Pa.upf
Pt 195.08 Pt.upf
ATOMIC_POSITIONS angstrom
Ho 0.0000 0.0000 0.0000
Pa 0.0000 0.0000 4.1274
Pt 2.0734 2.0734 0.0000
Pt 2.0734 2.0734 4.1274
Pt 2.0734 0.0000 2.0883
Pt 2.0734 0.0000 6.1666
Pt 0.0000 2.0734 2.0883
Pt 0.0000 2.0734 6.1666
CELL_PARAMETERS angstrom
4.1467 0.0000 0.0000
0.0000 4.1467 0.0000
0.0000 0.0000 8.2549
```

Results
Theoretical density ... 18.33 Mg/m³
Spin magnetization ... 0.000 μB per formula unit
Calculated total energy ... -59.0 eV per cell



4.
A relaxed structure of Ho2PaPt, computed with PBE. Values from VASP.

Structure (Quantum ESPRESSO input):
```
&SYSTEM
  ibrav = 0, nat = 4, ntyp = 3
/
ATOMIC_SPECIES
Pa 231.04 Pa.upf
Ho 164.93 Ho.upf
Pt 195.08 Pt.upf
ATOMIC_POSITIONS angstrom
Pa 0.0000 0.0000 0.0000
Ho 1.6938 0.9779 7.3497
Ho 5.0813 2.9337 3.2832
Pt 3.3875 1.9558 5.3165
CELL_PARAMETERS angstrom
3.3875 0.0000 0.0000
1.6938 2.9337 0.0000
1.6938 0.9779 10.6329
```

Results
Theoretical density ... 11.88 Mg/m³
Spin magnetization ... 0.000 μB per formula unit
Calculated total energy ... -25.1 eV per cell



5.
A relaxed structure of Ho2PaPt, computed with PBE. Values from VASP.

Structure (Quantum ESPRESSO input):
```
&SYSTEM
  ibrav = 0, nat = 4, ntyp = 3
/
ATOMIC_SPECIES
Pa 231.04 Pa.upf
Ho 164.93 Ho.upf
Pt 195.08 Pt.upf
ATOMIC_POSITIONS angstrom
Pa 0.5938 -0.1374 4.7244
Ho 3.4256 -2.0095 5.1194
Ho 0.8986 -0.5271 1.3428
Pt -1.5683 1.1309 1.4933
CELL_PARAMETERS angstrom
-0.2117 3.1595 1.3818
-2.9249 -0.8978 1.6048
4.3242 -2.5366 6.4622
```

Results
Theoretical density ... 12.86 Mg/m³
Spin magnetization ... 0.392 μB per formula unit
Calculated total energy ... -26.6 eV per cell



6.
A relaxed structure of Ho2PaPt3, computed with PBE. Values from VASP.

Structure (Quantum ESPRESSO input):
```
&SYSTEM
  ibrav = 0, nat = 12, ntyp = 3
/
ATOMIC_SPECIES
Ho 164.93 Ho.upf
Pa 231.04 Pa.upf
Pt 195.08 Pt.upf
ATOMIC_POSITIONS angstrom
Ho 0.9453 0.0000 10.7885
Ho 0.9453 0.0000 5.1021
Ho 2.8336 2.2176 2.8432
Ho 2.8336 2.2176 13.0474
Pa 0.9461 2.2176 7.9453
Pa 2.8328 0.0000 0.0000
Pt 2.8351 2.2176 10.1349
Pt 2.8358 0.0000 7.9453
Pt 2.8351 2.2176 5.7558
Pt 0.9438 0.0000 2.1896
Pt 0.9430 2.2176 0.0000
Pt 0.9438 0.0000 13.7011
CELL_PARAMETERS angstrom
3.7789 0.0000 0.0000
0.0000 4.4352 0.0000
0.0000 0.0000 15.8906
```

Results
Theoretical density ... 14.29 Mg/m³
Spin magnetization ... 0.000 μB per formula unit
Calculated total energy ... -87.6 eV per cell



7.
A relaxed structure of HoPuPa2Pt4, computed with PBE. Values from VASP.

Structure (Quantum ESPRESSO input):
```
&SYSTEM
  ibrav = 0, nat = 8, ntyp = 4
/
ATOMIC_SPECIES
Ho 164.93 Ho.upf
Pu 244.00 Pu.upf
Pa 231.04 Pa.upf
Pt 195.08 Pt.upf
ATOMIC_POSITIONS angstrom
Ho -3.8868 -0.2684 6.5272
Pu -1.8139 -0.1253 3.0461
Pa 1.0439 -2.9207 2.2672
Pa 2.1247 0.9116 3.0684
Pt -2.3099 1.7195 5.1872
Pt -3.3908 -2.1132 4.3859
Pt 2.6242 -0.9342 0.9287
Pt 0.5446 -1.0749 4.4068
CELL_PARAMETERS angstrom
-0.9925 3.6892 4.2830
-3.1542 -3.9755 2.6806
6.7924 -1.7589 -0.7498
```

Results
Theoretical density ... 14.42 Mg/m³
Spin magnetization ... 5.984 μB per formula unit
Calculated total energy ... -69.3 eV per cell



8.
A relaxed structure of HoPaZnPt, computed with PBE. Values from VASP.

Structure (Quantum ESPRESSO input):
```
&SYSTEM
  ibrav = 0, nat = 4, ntyp = 4
/
ATOMIC_SPECIES
Zn 65.41 Zn.upf
Pa 231.04 Pa.upf
Ho 164.93 Ho.upf
Pt 195.08 Pt.upf
ATOMIC_POSITIONS angstrom
Zn 7.4694 4.3124 3.0494
Pa 4.9796 2.8750 2.0329
Ho 0.0000 0.0000 0.0000
Pt 2.4898 1.4375 1.0165
CELL_PARAMETERS angstrom
4.9796 0.0000 0.0000
2.4898 4.3124 0.0000
2.4898 1.4375 4.0658
```

Results
Theoretical density ... 12.49 Mg/m³
Spin magnetization ... 0.242 μB per formula unit
Calculated total energy ... -23.3 eV per cell



Question: What is the theoretical density in the fifth record?
Answer: 12.86 Mg/m³